# Dy2Y5Te2Pd2 | OQMD | GGA-PBE | optimized geometry
data_Dy2Y5Te2Pd2
_chemical_formula_sum 'Dy4 Y10 Te4 Pd4'
_cell_length_a 3.9516
_cell_length_b 15.7758
_cell_length_c 9.6510
_cell_angle_alpha 90.00
_cell_angle_beta 90.00
_cell_angle_gamma 90.00
_symmetry_space_group_name_H-M 'I m m 2'
_symmetry_Int_Tables_number 44
_symmetry_space_group_name_Hall 'I 2 -2'
loop_
_atom_site_label
_atom_site_fract_x
_atom_site_fract_y
_atom_site_fract_z
Dy1 0.0000 0.1832 0.0000
Y1 0.0000 0.1427 0.6410
Y2 0.0000 0.3731 0.7928
Y3 0.0000 0.5000 0.3783
Te1 0.0000 0.0000 0.1398
Te2 0.0000 0.5000 0.0407
Pd1 0.0000 0.2627 0.3069
# E_tot ... -6.148 eV/atom
# Calculated density ... 6.83 g/cm3